A plane-wave DFT calculation with PBE with a Hubbard U was carried out for crystalline CaPH5W2O4 at its relaxed geometry.

Summary:
As for the space-group type: Cc, No. 9. The value obtained for the calculated volume is 319.5 Å³/cell. Its electronic total energy is -5.45 eV/atom. The calculation puts the total magnetization at 0.88 μB per formula unit.

Cell: 11.289 11.289 5.661 Å, 97.12 97.12 149.77°
Fractional positions:
Ca  0.201  0.799  0.500
Ca  0.799  0.201  0.000
P  0.318  0.691  0.995
P  0.691  0.318  0.495
H  0.037  0.903  0.377
H  0.135  0.353  0.769
H  0.233  0.343  0.292
H  0.343  0.233  0.792
H  0.353  0.135  0.269
H  0.388  0.524  0.651
H  0.524  0.388  0.151
H  0.831  0.898  0.370
H  0.898  0.831  0.870
H  0.903  0.037  0.877
W  0.218  0.220  0.512
W  0.220  0.218  0.012
W  0.677  0.755  0.981
W  0.755  0.677  0.481
O  0.077  0.386  0.793
O  0.234  0.666  0.208
O  0.342  0.807  0.837
O  0.386  0.077  0.293
O  0.581  0.854  0.103
O  0.666  0.234  0.708
O  0.807  0.342  0.337
O  0.854  0.581  0.603